A relaxed structure of Er4Cd2Ag3, computed with PBE.

Unit cell a=4.9236 b=5.4270 c=9.1460 alpha=80.11 beta=90.00 gamma=63.02
Last column: nearest neighbours and their distance in Å.
Positions (direct):
Er (0.0530, 0.8939, 0.3378)  4 Ag 2.93-3.23, 3 Cd 3.12-3.13
Ag (0.3596, 0.2805, 0.4352)  1 Ag 2.74, 2 Er 2.93-3.02, 1 Cd 3.05
Er (0.6458, 0.7085, 0.8961)  4 Ag 3.02-3.37, 3 Cd 3.22-3.26
Ag (0.0000, 0.0000, 0.0000)  8 Er 3.03-3.37
Cd (0.7231, 0.5535, 0.2592)  3 Ag 3.05-3.09, 6 Er 3.12-3.26
Er (0.3542, 0.2915, 0.1039)  4 Ag 3.02-3.37, 3 Cd 3.22-3.26
Ag (0.6404, 0.7195, 0.5648)  1 Ag 2.74, 2 Er 2.93-3.02, 1 Cd 3.05
Cd (0.2769, 0.4465, 0.7408)  3 Ag 3.05-3.09, 6 Er 3.12-3.26
Er (0.9470, 0.1061, 0.6622)  4 Ag 2.93-3.23, 3 Cd 3.12-3.13

Computed properties:
E = -30.860 eV/cell
Energy of formation from the pure elements = -0.2472 eV/atom